{"formula": "Ac3SnSb2Pd9", "functional": "PBE-GGA", "state": "optimized geometry", "lattice_angstrom": [[6.876, 0.000, 0.000], [-3.438, 5.955, 0.000], [0.000, 0.000, 9.399]], "species": ["Ac", "Ac", "Ac", "Sn", "Sb", "Sb", "Pd", "Pd", "Pd", "Pd", "Pd", "Pd", "Pd", "Pd", "Pd"], "frac_coords": [[0.333, 0.667, 0.724], [0.000, 0.000, 0.000], [0.667, 0.333, 0.276], [0.000, 0.000, 0.500], [0.333, 0.667, 0.185], [0.667, 0.333, 0.815], [0.865, 0.135, 0.721], [0.865, 0.730, 0.721], [0.270, 0.135, 0.721], [0.730, 0.865, 0.279], [0.135, 0.270, 0.279], [0.135, 0.865, 0.279], [0.500, 0.000, 0.000], [0.000, 0.500, 0.000], [0.500, 0.500, 0.000]], "total_magnetization_mub_per_atom": 0.000, "dos_ef_per_ev_cell": 6.216, "formation_energy_uncorrected_ev_per_atom": -0.587, "energy_ev_per_atom": -5.34}